Arrangement 1

A plane-wave DFT calculation with GGA-PBE was carried out for a relaxed Al3NiB crystal.

The structure in CIF format:
```
data_Al3NiB
_symmetry_space_group_name_H-M 'P 1'
_symmetry_Int_Tables_number 1
_symmetry_space_group_name_Hall 'P 1'
_cell_length_a 4.0830
_cell_length_b 4.0830
_cell_length_c 4.0830
_cell_angle_alpha 90.00
_cell_angle_beta 90.00
_cell_angle_gamma 90.00
loop_
_atom_site_label
_atom_site_fract_x
_atom_site_fract_y
_atom_site_fract_z
_atom_site_occupancy
Al1 0.0000 0.0000 0.5000 1
Al2 0.0000 0.5000 0.0000 1
Al3 0.5000 0.0000 0.0000 1
Ni1 0.5000 0.5000 0.5000 1
B1 0.0000 0.0000 0.0000 1
```

Output
The space group is No. 221.

Arrangement 2

A plane-wave DFT calculation with GGA-PBE was carried out for a relaxed Al3NiB crystal.

The structure in CIF format:
```
data_Al3NiB
_symmetry_space_group_name_H-M 'P 1'
_symmetry_Int_Tables_number 1
_symmetry_space_group_name_Hall 'P 1'
_cell_length_a 4.4115
_cell_length_b 4.4115
_cell_length_c 4.4115
_cell_angle_alpha 90.00
_cell_angle_beta 90.00
_cell_angle_gamma 90.00
loop_
_atom_site_label
_atom_site_fract_x
_atom_site_fract_y
_atom_site_fract_z
_atom_site_occupancy
Al1 0.0000 0.0000 0.5000 1
Al2 0.0000 0.5000 0.0000 1
Al3 0.5000 0.0000 0.0000 1
Ni1 0.0000 0.0000 0.0000 1
B1 0.5000 0.5000 0.5000 1
```

Output
The space group is No. 221.

Tell me which of them is the least stable. Sure, it is arrangement 2.

Arrangement 1

A plane-wave DFT calculation with GGA-PBE was carried out for a relaxed AlNi3B crystal.

The structure in CIF format:
```
data_AlNi3B
_symmetry_space_group_name_H-M 'P 1'
_symmetry_Int_Tables_number 1
_symmetry_space_group_name_Hall 'P 1'
_cell_length_a 3.8074
_cell_length_b 3.8074
_cell_length_c 3.8074
_cell_angle_alpha 90.00
_cell_angle_beta 90.00
_cell_angle_gamma 90.00
loop_
_atom_site_label
_atom_site_fract_x
_atom_site_fract_y
_atom_site_fract_z
_atom_site_occupancy
Al1 0.0000 0.0000 0.0000 1
Ni1 0.0000 0.5000 0.5000 1
Ni2 0.5000 0.0000 0.5000 1
Ni3 0.5000 0.5000 0.0000 1
B1 0.5000 0.5000 0.5000 1
```

Output
The space group is No. 221.

Arrangement 2

A plane-wave DFT calculation with GGA-PBE was carried out for a relaxed AlNi3B crystal.

The structure in CIF format:
```
data_AlNi3B
_symmetry_space_group_name_H-M 'P 1'
_symmetry_Int_Tables_number 1
_symmetry_space_group_name_Hall 'P 1'
_cell_length_a 4.1902
_cell_length_b 4.1902
_cell_length_c 4.1902
_cell_angle_alpha 90.00
_cell_angle_beta 90.00
_cell_angle_gamma 90.00
loop_
_atom_site_label
_atom_site_fract_x
_atom_site_fract_y
_atom_site_fract_z
_atom_site_occupancy
Al1 0.0000 0.0000 0.0000 1
Ni1 0.0000 0.0000 0.5000 1
Ni2 0.0000 0.5000 0.0000 1
Ni3 0.5000 0.0000 0.0000 1
B1 0.5000 0.5000 0.5000 1
```

Output
The space group is No. 221.

Arrangement 3

A plane-wave DFT calculation with GGA-PBE was carried out for a relaxed AlNi3B crystal.

The structure in CIF format:
```
data_AlNi3B
_symmetry_space_group_name_H-M 'P 1'
_symmetry_Int_Tables_number 1
_symmetry_space_group_name_Hall 'P 1'
_cell_length_a 5.4723
_cell_length_b 5.4723
_cell_length_c 4.0776
_cell_angle_alpha 90.00
_cell_angle_beta 90.00
_cell_angle_gamma 120.00
loop_
_atom_site_label
_atom_site_fract_x
_atom_site_fract_y
_atom_site_fract_z
_atom_site_occupancy
Al1 0.3333 0.6667 0.2500 1
Al2 0.6667 0.3333 0.7500 1
Ni1 0.1814 0.3629 0.7500 1
Ni2 0.1814 0.8186 0.7500 1
Ni3 0.3629 0.1814 0.2500 1
Ni4 0.6371 0.8186 0.7500 1
Ni5 0.8186 0.1814 0.2500 1
Ni6 0.8186 0.6371 0.2500 1
B1 0.0000 0.0000 0.0000 1
B2 0.0000 0.0000 0.5000 1
```

Output
The space group is No. 194.

Tell me which of them is the least stable. Sure, it is arrangement 2.

Arrangement 1

A plane-wave DFT calculation with GGA-PBE was carried out for a relaxed AlB2O2 crystal.

The structure in CIF format:
```
data_AlB2O2
_symmetry_space_group_name_H-M 'P 1'
_symmetry_Int_Tables_number 1
_symmetry_space_group_name_Hall 'P 1'
_cell_length_a 9.1827
_cell_length_b 9.1827
_cell_length_c 2.3756
_cell_angle_alpha 90.00
_cell_angle_beta 90.00
_cell_angle_gamma 90.00
loop_
_atom_site_label
_atom_site_fract_x
_atom_site_fract_y
_atom_site_fract_z
_atom_site_occupancy
Al1 0.0000 0.0000 0.0000 1
Al2 0.5000 0.5000 0.0000 1
B1 0.0666 0.4334 0.0000 1
B2 0.4334 0.9334 0.0000 1
B3 0.5666 0.0666 0.0000 1
B4 0.9334 0.5666 0.0000 1
O1 0.1220 0.3780 0.5000 1
O2 0.3780 0.8780 0.5000 1
O3 0.6220 0.1220 0.5000 1
O4 0.8780 0.6220 0.5000 1
```

Output
The space group is No. 127.

Arrangement 2

A plane-wave DFT calculation with GGA-PBE was carried out for a relaxed AlB2O2 crystal.

The structure in CIF format:
```
data_AlB2O2
_symmetry_space_group_name_H-M 'P 1'
_symmetry_Int_Tables_number 1
_symmetry_space_group_name_Hall 'P 1'
_cell_length_a 4.0208
_cell_length_b 4.0208
_cell_length_c 4.0208
_cell_angle_alpha 121.44
_cell_angle_beta 121.44
_cell_angle_gamma 87.52
loop_
_atom_site_label
_atom_site_fract_x
_atom_site_fract_y
_atom_site_fract_z
_atom_site_occupancy
Al1 0.0000 0.0000 0.0000 1
B1 0.3532 0.3532 0.0000 1
B2 0.6468 0.6468 0.0000 1
O1 0.2500 0.7500 0.5000 1
O2 0.7500 0.2500 0.5000 1
```

Output
The space group is No. 139.

Tell me which of them is the least stable. Sure, it is arrangement 2.

Arrangement 1

A plane-wave DFT calculation with GGA-PBE was carried out for a relaxed AlB2O crystal.

The structure in CIF format:
```
data_AlB2O
_symmetry_space_group_name_H-M 'P 1'
_symmetry_Int_Tables_number 1
_symmetry_space_group_name_Hall 'P 1'
_cell_length_a 5.8777
_cell_length_b 5.8777
_cell_length_c 5.8777
_cell_angle_alpha 142.01
_cell_angle_beta 142.01
_cell_angle_gamma 54.82
loop_
_atom_site_label
_atom_site_fract_x
_atom_site_fract_y
_atom_site_fract_z
_atom_site_occupancy
Al1 0.0000 0.0000 0.0000 1
Al2 0.7500 0.2500 0.5000 1
B1 0.2958 0.6250 0.1708 1
B2 0.3750 0.5458 0.6708 1
B3 0.4542 0.1250 0.8292 1
B4 0.8750 0.7042 0.3292 1
O1 0.2500 0.7500 0.5000 1
O2 0.5000 0.5000 0.0000 1
```

Output
The space group is No. 122.

Arrangement 2

A plane-wave DFT calculation with GGA-PBE was carried out for a relaxed AlB2O crystal.

The structure in CIF format:
```
data_AlB2O
_symmetry_space_group_name_H-M 'P 1'
_symmetry_Int_Tables_number 1
_symmetry_space_group_name_Hall 'P 1'
_cell_length_a 3.8399
_cell_length_b 3.8399
_cell_length_c 3.8399
_cell_angle_alpha 60.00
_cell_angle_beta 60.00
_cell_angle_gamma 60.00
loop_
_atom_site_label
_atom_site_fract_x
_atom_site_fract_y
_atom_site_fract_z
_atom_site_occupancy
Al1 0.0000 0.0000 0.0000 1
B1 0.2500 0.2500 0.2500 1
B2 0.7500 0.7500 0.7500 1
O1 0.5000 0.5000 0.5000 1
```

Output
The space group is No. 225.

Tell me which of them is the least stable. Sure, it is arrangement 2.

Arrangement 1

A plane-wave DFT calculation with GGA-PBE was carried out for a relaxed AlBO2 crystal.

The structure in CIF format:
```
data_AlBO2
_symmetry_space_group_name_H-M 'P 1'
_symmetry_Int_Tables_number 1
_symmetry_space_group_name_Hall 'P 1'
_cell_length_a 5.4083
_cell_length_b 5.4083
_cell_length_c 5.4083
_cell_angle_alpha 126.85
_cell_angle_beta 126.85
_cell_angle_gamma 78.49
loop_
_atom_site_label
_atom_site_fract_x
_atom_site_fract_y
_atom_site_fract_z
_atom_site_occupancy
Al1 0.0000 0.0000 0.0000 1
Al2 0.7500 0.2500 0.5000 1
B1 0.2500 0.7500 0.5000 1
B2 0.5000 0.5000 0.0000 1
O1 0.0366 0.6250 0.9116 1
O2 0.3750 0.2866 0.4116 1
O3 0.7134 0.1250 0.0884 1
O4 0.8750 0.9634 0.5884 1
```

Output
The space group is No. 122.

Arrangement 2

A plane-wave DFT calculation with GGA-PBE was carried out for a relaxed AlBO2 crystal.

The structure in CIF format:
```
data_AlBO2
_symmetry_space_group_name_H-M 'P 1'
_symmetry_Int_Tables_number 1
_symmetry_space_group_name_Hall 'P 1'
_cell_length_a 3.6500
_cell_length_b 3.6500
_cell_length_c 3.6500
_cell_angle_alpha 60.00
_cell_angle_beta 60.00
_cell_angle_gamma 60.00
loop_
_atom_site_label
_atom_site_fract_x
_atom_site_fract_y
_atom_site_fract_z
_atom_site_occupancy
Al1 0.0000 0.0000 0.0000 1
B1 0.5000 0.5000 0.5000 1
O1 0.2500 0.2500 0.2500 1
O2 0.7500 0.7500 0.7500 1
```

Output
The space group is No. 225.

Arrangement 3

A plane-wave DFT calculation with GGA-PBE was carried out for a relaxed AlBO2 crystal.

The structure in CIF format:
```
data_AlBO2
_symmetry_space_group_name_H-M 'P 1'
_symmetry_Int_Tables_number 1
_symmetry_space_group_name_Hall 'P 1'
_cell_length_a 5.4094
_cell_length_b 5.4094
_cell_length_c 5.4094
_cell_angle_alpha 29.22
_cell_angle_beta 29.22
_cell_angle_gamma 29.22
loop_
_atom_site_label
_atom_site_fract_x
_atom_site_fract_y
_atom_site_fract_z
_atom_site_occupancy
Al1 0.0000 0.0000 0.0000 1
B1 0.5000 0.5000 0.5000 1
O1 0.3977 0.3977 0.3977 1
O2 0.6023 0.6023 0.6023 1
```

Output
The space group is No. 166.

Tell me which of them is the least stable. Sure, it is arrangement 2.

Arrangement 1

A plane-wave DFT calculation with GGA-PBE was carried out for a relaxed AlBP2 crystal.

The structure in CIF format:
```
data_AlBP2
_symmetry_space_group_name_H-M 'P 1'
_symmetry_Int_Tables_number 1
_symmetry_space_group_name_Hall 'P 1'
_cell_length_a 6.3716
_cell_length_b 6.3716
_cell_length_c 6.3716
_cell_angle_alpha 35.24
_cell_angle_beta 35.24
_cell_angle_gamma 35.24
loop_
_atom_site_label
_atom_site_fract_x
_atom_site_fract_y
_atom_site_fract_z
_atom_site_occupancy
Al1 0.0000 0.0000 0.0000 1
B1 0.5000 0.5000 0.5000 1
P1 0.4007 0.4007 0.4007 1
P2 0.5993 0.5993 0.5993 1
```

Output
The space group is No. 166.

Arrangement 2

A plane-wave DFT calculation with GGA-PBE was carried out for a relaxed AlBP2 crystal.

The structure in CIF format:
```
data_AlBP2
_symmetry_space_group_name_H-M 'P 1'
_symmetry_Int_Tables_number 1
_symmetry_space_group_name_Hall 'P 1'
_cell_length_a 4.1978
_cell_length_b 4.1978
_cell_length_c 4.1978
_cell_angle_alpha 60.00
_cell_angle_beta 60.00
_cell_angle_gamma 60.00
loop_
_atom_site_label
_atom_site_fract_x
_atom_site_fract_y
_atom_site_fract_z
_atom_site_occupancy
Al1 0.0000 0.0000 0.0000 1
B1 0.5000 0.5000 0.5000 1
P1 0.2500 0.2500 0.2500 1
P2 0.7500 0.7500 0.7500 1
```

Output
The space group is No. 225.

Tell me which of them is the least stable. Sure, it is arrangement 2.